The following is a DFT calculation (GGA+U) of a geometry-optimized NpWO6F2 structure.

CIF file:
```
data_NpWO6F2
_chemical_formula_sum 'Np2 W2 O12 F4'
_cell_length_a 6.755
_cell_length_b 7.302
_cell_length_c 6.515
_cell_angle_alpha 90.00
_cell_angle_beta 90.00
_cell_angle_gamma 90.00
_symmetry_space_group_name_H-M 'P m m n'
_symmetry_Int_Tables_number 59
loop_
_symmetry_equiv_pos_as_xyz
'x,y,z'
'-x,-y,-z'
'-x+1/2,-y+1/2,z'
'x+1/2,y+1/2,-z'
'x+1/2,-y,-z'
'-x+1/2,y,z'
'-x,y+1/2,-z'
'x,-y+1/2,z'
loop_
_atom_site_label
_atom_site_type_symbol
_atom_site_fract_x
_atom_site_fract_y
_atom_site_fract_z
Np1 Np 0.250 0.250 0.039
W1 W 0.250 0.750 0.267
O1 O 0.021 0.250 0.819
O2 O 0.250 0.507 0.046
O3 O 0.250 0.577 0.464
F1 F 0.035 0.250 0.261
```

Calculated values
* spin magnetization: 2.08 μB per cell
* volume: 160.69 Å³/f.u.
* calculated density: 5.73 g/cm3
* raw total energy: -147.585 eV/cell
* crystal system: orthorhombic

=====

The following is a DFT calculation (GGA+U) of a geometry-optimized Li3FeP2O8 structure.

CIF file:
```
data_Li3FeP2O8
_chemical_formula_sum 'Li27 Fe9 P18 O72'
_cell_length_a 8.4705
_cell_length_b 8.4705
_cell_length_c 22.9698
_cell_angle_alpha 90.00
_cell_angle_beta 90.00
_cell_angle_gamma 120.00
_symmetry_space_group_name_H-M 'R 3'
_symmetry_Int_Tables_number 146
_symmetry_space_group_name_Hall 'R 3'
loop_
_atom_site_label
_atom_site_type_symbol
_atom_site_fract_x
_atom_site_fract_y
_atom_site_fract_z
Li1 Li 0.0000 0.0000 0.0000
Li2 Li 0.0000 0.0000 0.1169
Li3 Li 0.0000 0.0000 0.7050
Li4 Li 0.0347 0.6925 0.2854
Li5 Li 0.0469 0.3465 0.7168
Fe1 Fe 0.0000 0.0000 0.3223
Fe2 Fe 0.0000 0.0000 0.5217
Fe3 Fe 0.0000 0.0000 0.8240
P1 P 0.0124 0.7144 0.4208
P2 P 0.0347 0.3655 0.5876
O1 O 0.0149 0.2051 0.8663
O2 O 0.0377 0.8249 0.4756
O3 O 0.0473 0.8453 0.7566
O4 O 0.0857 0.8535 0.0772
O5 O 0.0894 0.5742 0.0334
O6 O 0.1725 0.4074 0.6381
O7 O 0.1774 0.4466 0.2434
O8 O 0.1951 0.4435 0.9396
```

Calculated values
* spin magnetization: 45.61 μB per cell
* volume: 158.59 Å³/f.u.
* calculated density: 2.79 g/cm3
* raw total energy: -831.501 eV/cell
* crystal system: trigonal
* relative energy among the computed polymorphs: 2.0 kJ/mol of atoms